# 1
Here is an optimized crystal structure of MgSc2NiB from the Alexandria database. Energies are from PBE-GGA.

Cell lengths 4.747, 4.747, 3.841 Å; angles 90.00, 90.00, 90.00 degrees
Atoms (fractional coordinates):
Mg 0.000 0.000 0.000
Sc 0.000 0.500 0.500
Sc 0.500 0.000 0.500
Ni 0.500 0.500 0.000
B 0.500 0.500 0.500

Results
**Uncorrected energy**: -5.549 eV per atom
**Energy relative to the elements**: -0.206 eV per atom
**Symmetry**: P4/mmm, No. 123


# 2
Here is an optimized crystal structure of AgTe2RhN from the Alexandria database. Energies are from PBE-GGA.

Cell lengths 5.569, 5.569, 3.619 Å; angles 90.00, 90.00, 90.00 degrees
Atoms (fractional coordinates):
Ag 0.000 0.000 0.000
Te 0.000 0.500 0.500
Te 0.500 0.000 0.500
Rh 0.500 0.500 0.500
N 0.500 0.500 0.000

Results
**ΔE_f (raw)**: 396 meV per atom
**Uncorrected energy**: -4.566 eV per atom
**Symmetry**: P4/mmm, No. 123